Version A
The following is a PBE calculation of a relaxed structure of NiHgTe2I, from the Alexandria database.

Cell: 5.836 5.836 5.920 Å, 90.00 90.00 90.00°
Atoms (fractional coordinates):
1 Ni 0.000 0.000 0.000
2 Hg 0.500 0.500 0.000
3 Te 0.000 0.500 0.500
4 Te 0.500 0.000 0.500
5 I 0.500 0.500 0.500

Computed properties:
Theoretical density, g/cm3: 5.283
V, Å³ per cell: 201.6

Version B
The following is a PBE calculation of a relaxed structure of NiHgTe2I, from the Alexandria database.

Cell: 5.146 5.146 5.377 Å, 90.00 90.00 90.00°
Atoms (fractional coordinates):
1 Ni 0.000 0.000 0.000
2 Hg 0.500 0.500 0.500
3 Te 0.000 0.500 0.000
4 Te 0.500 0.000 0.000
5 I 0.000 0.000 0.500

Computed properties:
Theoretical density, g/cm3: 7.479
V, Å³ per cell: 142.4

Least stable of them? version A.

Version A
The following is a PBE calculation of a relaxed structure of NpHg2I4, from the Alexandria database.

Cell: 10.853 10.853 10.853 Å, 147.43 147.43 46.73°
Atoms (fractional coordinates):
1 Np 0.000 0.000 0.000
2 Hg 0.338 0.338 0.000
3 Hg 0.662 0.662 0.000
4 I 0.000 0.500 0.500
5 I 0.146 0.146 0.000
6 I 0.500 0.000 0.500
7 I 0.854 0.854 0.000

Computed properties:
Theoretical density, g/cm3: 5.155
V, Å³ per cell: 369.1

Version B
The following is a PBE calculation of a relaxed structure of NpHg2I4, from the Alexandria database.

Cell: 11.080 13.283 4.454 Å, 90.00 90.00 90.00°
Atoms (fractional coordinates):
1 Np 0.000 0.000 0.000
2 Np 0.500 0.500 0.000
3 Hg 0.060 0.381 0.500
4 Hg 0.440 0.881 0.500
5 Hg 0.560 0.119 0.500
6 Hg 0.940 0.619 0.500
7 I 0.135 0.812 0.000
8 I 0.165 0.082 0.500
9 I 0.335 0.582 0.500
10 I 0.365 0.312 0.000
11 I 0.635 0.688 0.000
12 I 0.665 0.418 0.500
13 I 0.835 0.918 0.500
14 I 0.865 0.188 0.000

Computed properties:
Theoretical density, g/cm3: 5.804
V, Å³ per cell: 655.6

Least stable of them? version A.